Density functional theory data (PBE) for a geometry-optimized YTl3Sb2Te6 structure.

The space group is C2/m (No. 12) and the conventional cell measures 7.779, 13.473 and 8.426 Å, with angles of 90.00, 107.91 and 90.00 degrees. Symmetry generates all atoms from Y at (0.000, 0.000, 0.000), Tl at (0.000, 0.165, 0.500), Tl at (0.000, 0.500, 0.500), Sb at (0.000, 0.334, 0.000), Te at (0.236, 0.500, 0.212) and Te at (0.239, 0.167, 0.215).

The calculation puts the formation energy from raw total energies at -48.77 kJ per mole of atoms. Its total magnetization is 0.00 μB/f.u.